This record from Alexandria via LeMat-Bulk describes a relaxed Li3Ca2ZnCu12 crystal. The functional is GGA-PBE.

Cell and atoms, written as extended XYZ:
```
18
Lattice="2.969 1.714 9.560 -2.969 1.714 9.560 0.000 -3.428 9.560" Properties=species:S:1:pos:R:3 pbc="T T T"
Li -1.484 -0.857 9.560
Li -1.484 0.857 19.120
Li 0.000 1.714 9.560
Ca 0.000 0.000 4.165
Ca 0.000 0.000 24.514
Zn 0.000 0.000 14.340
Cu 0.000 -2.053 8.113
Cu -1.778 1.027 8.113
Cu -1.273 -0.735 12.332
Cu -1.778 -1.027 20.566
Cu 0.000 -1.470 16.347
Cu -1.273 0.735 16.347
Cu 1.273 -0.735 12.332
Cu 0.000 1.470 12.332
Cu 1.778 1.027 8.113
Cu 1.273 0.735 16.347
Cu 1.778 -1.027 20.566
Cu 0.000 2.053 20.566
```

Magnetic moment = 0.00 μB/atom
Final energy = -3.213 eV/atom
Fermi-level density of states = 0.217 states/eV/atom
E_form = 0.13 eV per atom

=====

This record from Alexandria via LeMat-Bulk describes a relaxed SrPt4 crystal. The functional is GGA-PBE.

Cell and atoms, written as extended XYZ:
```
5
Lattice="-2.200 2.200 5.417 2.200 -2.200 5.417 2.200 2.200 -5.417" Properties=species:S:1:pos:R:3 pbc="T T T"
Sr 0.000 0.000 0.000
Pt 2.200 0.000 2.709
Pt 0.000 0.000 4.178
Pt 0.000 0.000 6.657
Pt 0.000 2.200 2.709
```

Magnetic moment = 0.00 μB/atom
Final energy = -5.461 eV/atom
Offset from the most stable computed form = 0.0 meV per atom
Fermi-level density of states = 1.405 states/eV/atom
E_form = -0.29 eV per atom

=====

This record from Alexandria via LeMat-Bulk describes a relaxed LaPbSe2 crystal. The functional is GGA-PBE.

Cell and atoms, written as extended XYZ:
```
4
Lattice="2.113 1.220 7.712 -2.113 1.220 7.712 0.000 -2.440 7.712" Properties=species:S:1:pos:R:3 pbc="T T T"
La 0.000 0.000 0.000
Pb 0.000 0.000 3.842
Se 0.000 0.000 13.538
Se 0.000 0.000 17.342
```

Magnetic moment = 0.24 μB/atom
Final energy = -5.074 eV/atom
Formation energy (no corrections) = -1173 meV per atom
Fermi-level density of states = 0.209 states/eV/atom